TeSeBr (PBE, relaxed); relative energy among the computed polymorphs = 93.3 meV/atom; formation energy without anion corrections = -0.057 eV per atom; mass density = 3.75 g/cm3; DFT total energy = -2.82 eV per atom; crystal system = orthorhombic; DOS(E_F) = 2.0 states/eV per cell; space-group type = Fmm2, No. 42
1.0
0.0000 4.5057 7.1923
1.9580 0.0000 7.1923
1.9580 4.5057 0.0000
Te Se Br
1 1 1
direct
0.0000 0.0000 0.0000 Te
0.6227 0.6227 0.3773 Se
0.3512 0.3512 0.6488 Br

Tb2Pm5Pr6 (PBE, relaxed); mass density = 6.82 g/cm3; energy of formation from the pure elements = 0.092 eV/atom; DFT total energy = -4.65 eV per atom; crystal system = orthorhombic; DOS(E_F) = 31.1 states/eV per cell; space-group type = Pbam, No. 55
1.0
11.8933 0.0000 0.0000
0.0000 21.0446 0.0000
0.0000 0.0000 3.6741
Tb Pm Pr
4 10 12
direct
0.1690 0.2108 0.0000 Tb
0.3310 0.7108 0.0000 Tb
0.6690 0.2892 0.0000 Tb
0.8310 0.7892 0.0000 Tb
0.0000 0.5000 0.5000 Pm
0.0879 0.7734 0.5000 Pm
0.1974 0.0549 0.5000 Pm
0.3026 0.5549 0.5000 Pm
0.4121 0.2734 0.5000 Pm
0.5000 0.0000 0.5000 Pm
0.5879 0.7266 0.5000 Pm
0.6974 0.4451 0.5000 Pm
0.8026 0.9451 0.5000 Pm
0.9121 0.2266 0.5000 Pm
0.0619 0.9197 0.0000 Pr
0.0829 0.6320 0.0000 Pr
0.1747 0.3630 0.5000 Pr
0.3253 0.8630 0.5000 Pr
0.4171 0.1320 0.0000 Pr
0.4381 0.4197 0.0000 Pr
0.5619 0.5803 0.0000 Pr
0.5829 0.8680 0.0000 Pr
0.6747 0.1370 0.5000 Pr
0.8253 0.6370 0.5000 Pr
0.9171 0.3680 0.0000 Pr
0.9381 0.0803 0.0000 Pr

Sr5Bi2AsCl (PBE, relaxed); formation energy without anion corrections = -1.198 eV per atom; mass density = 4.83 g/cm3; DFT total energy = -3.72 eV per atom; crystal system = orthorhombic; DOS(E_F) = 1.0 states/eV per cell; space-group type = Cmc2_1, No. 36
1.0
2.4006 -9.8085 0.0000
2.4006 9.8085 0.0000
0.0000 0.0000 14.1118
Sr Bi As Cl
10 4 2 2
direct
0.0031 0.9969 0.5000 Sr
0.1379 0.8621 0.7255 Sr
0.1944 0.8056 0.0871 Sr
0.2195 0.7805 0.3792 Sr
0.4391 0.5609 0.7934 Sr
0.5609 0.4391 0.2934 Sr
0.7805 0.2195 0.8792 Sr
0.8056 0.1944 0.5871 Sr
0.8621 0.1379 0.2255 Sr
0.9969 0.0031 0.0000 Sr
0.3700 0.6300 0.0223 Bi
0.3940 0.6060 0.4119 Bi
0.6060 0.3940 0.9119 Bi
0.6300 0.3700 0.5223 Bi
0.2933 0.7067 0.7287 As
0.7067 0.2933 0.2287 As
0.0227 0.9773 0.1992 Cl
0.9773 0.0227 0.6992 Cl

GaHgB3 (PBE, relaxed); relative energy among the computed polymorphs = 0.0 meV/atom; mass density = 6.52 g/cm3; energy of formation from the pure elements = 1.851 eV/atom; DFT total energy = -2.82 eV per atom; crystal system = cubic; DOS(E_F) = 1.9 states/eV per cell; space-group type = Pm-3m, No. 221
1.0
4.2560 0.0000 0.0000
0.0000 4.2560 0.0000
0.0000 0.0000 4.2560
Ga Hg B
1 1 3
direct
0.0000 0.0000 0.0000 Ga
0.5000 0.5000 0.5000 Hg
0.0000 0.0000 0.5000 B
0.0000 0.5000 0.0000 B
0.5000 0.0000 0.0000 B

PmY4Ho6 (PBE, relaxed); relative energy among the computed polymorphs = 0.0 meV/atom; mass density = 6.75 g/cm3; energy of formation from the pure elements = 0.309 eV/atom; DFT total energy = -4.97 eV per atom; crystal system = tetragonal; DOS(E_F) = 16.1 states/eV per cell; space-group type = I-42m, No. 121
1.0
-3.2759 3.2759 8.5440
3.2759 -3.2759 8.5440
3.2759 3.2759 -8.5440
Pm Y Ho
1 4 6
direct
0.0000 0.0000 0.0000 Pm
0.0127 0.6385 0.0000 Y
0.3615 0.3615 0.3742 Y
0.6385 0.0127 0.0000 Y
0.9873 0.9873 0.6258 Y
0.0000 0.5000 0.5000 Ho
0.1914 0.1914 0.6424 Ho
0.4510 0.8086 0.0000 Ho
0.5000 0.0000 0.5000 Ho
0.5490 0.5490 0.3576 Ho
0.8086 0.4510 0.0000 Ho

Zr2GaW (PBE, relaxed); mass density = 8.93 g/cm3; energy of formation from the pure elements = 0.423 eV/atom; DFT total energy = -7.85 eV per atom; crystal system = tetragonal; DOS(E_F) = 5.8 states/eV per cell; space-group type = I-42d, No. 122
1.0
-3.8072 3.8072 2.7971
3.8072 -3.8072 2.7971
3.8072 3.8072 -2.7971
Zr Ga W
4 2 2
direct
0.1194 0.6250 0.9944 Zr
0.3750 0.3694 0.4944 Zr
0.6306 0.1250 0.0056 Zr
0.8750 0.8806 0.5056 Zr
0.2500 0.7500 0.5000 Ga
0.5000 0.5000 0.0000 Ga
0.0000 0.0000 0.0000 W
0.7500 0.2500 0.5000 W

Hf2Ti3Nb2 (PBE, relaxed); mass density = 8.58 g/cm3; energy of formation from the pure elements = 0.079 eV/atom; DFT total energy = -9.03 eV per atom; crystal system = monoclinic; DOS(E_F) = 9.0 states/eV per cell; space-group type = C2/m, No. 12
1.0
4.4129 -2.2712 0.0000
4.4129 2.2712 0.0000
-2.2492 0.0000 6.6257
Hf Ti Nb
2 3 2
direct
0.1023 0.1023 0.2212 Hf
0.8977 0.8977 0.7788 Hf
0.3736 0.3736 0.0757 Ti
0.5000 0.5000 0.5000 Ti
0.6264 0.6264 0.9243 Ti
0.1897 0.1897 0.6719 Nb
0.8103 0.8103 0.3281 Nb

Cr3AsN (PBE, relaxed); relative energy among the computed polymorphs = 0.0 meV/atom; formation energy without anion corrections = -0.329 eV per atom; mass density = 7.05 g/cm3; DFT total energy = -8.70 eV per atom; crystal system = tetragonal; DOS(E_F) = 7.3 states/eV per cell; space-group type = I4/mcm, No. 140
1.0
-2.6720 2.6720 4.0378
2.6720 -2.6720 4.0378
2.6720 2.6720 -4.0378
Cr As N
6 2 2
direct
0.1778 0.6778 0.8556 Cr
0.2500 0.2500 0.0000 Cr
0.3222 0.1778 0.5000 Cr
0.6778 0.8222 0.5000 Cr
0.7500 0.7500 0.0000 Cr
0.8222 0.3222 0.1444 Cr
0.2500 0.7500 0.5000 As
0.7500 0.2500 0.5000 As
0.0000 0.0000 0.0000 N
0.5000 0.5000 0.0000 N

SbPtSe2 (PBE, relaxed); formation energy without anion corrections = 0.001 eV per atom; mass density = 8.81 g/cm3; DFT total energy = -4.28 eV per atom; crystal system = orthorhombic; DOS(E_F) = 2.4 states/eV per cell; space-group type = Imm2, No. 44
1.0
-1.7863 2.1814 5.7401
1.7863 -2.1814 5.7401
1.7863 2.1814 -5.7401
Sb Pt Se
1 1 2
direct
0.0000 0.0000 0.0000 Sb
0.8162 0.3162 0.5000 Pt
0.3380 0.8380 0.5000 Se
0.6470 0.6470 0.0000 Se

Sc2CuBiIr (PBE, relaxed); mass density = 6.36 g/cm3; energy of formation from the pure elements = 1.014 eV/atom; DFT total energy = -4.89 eV per atom; crystal system = tetragonal; DOS(E_F) = 3.4 states/eV per cell; space-group type = P4/mmm, No. 123
1.0
5.4116 0.0000 0.0000
0.0000 5.4116 0.0000
0.0000 0.0000 4.9413
Sc Cu Bi Ir
2 1 1 1
direct
0.0000 0.5000 0.0000 Sc
0.5000 0.0000 0.0000 Sc
0.0000 0.0000 0.5000 Cu
0.5000 0.5000 0.0000 Bi
0.5000 0.5000 0.5000 Ir

LaTb2Ho6 (PBE, relaxed); relative energy among the computed polymorphs = 247.3 meV/atom; mass density = 8.10 g/cm3; energy of formation from the pure elements = 0.321 eV/atom; DFT total energy = -4.31 eV per atom; crystal system = trigonal; DOS(E_F) = 12.1 states/eV per cell; space-group type = R3m, No. 160
1.0
3.6712 2.1196 6.3528
-3.6712 2.1196 6.3528
0.0000 -4.2391 6.3528
La Tb Ho
1 2 6
direct
0.0000 0.0000 0.0000 La
0.5610 0.5610 0.5610 Tb
0.7381 0.7381 0.7381 Tb
0.0569 0.0569 0.5335 Ho
0.0569 0.5335 0.0569 Ho
0.2686 0.2686 0.7048 Ho
0.2686 0.7048 0.2686 Ho
0.5335 0.0569 0.0569 Ho
0.7048 0.2686 0.2686 Ho

Fe2AgHPd (PBE, relaxed); relative energy among the computed polymorphs = 0.0 meV/atom; mass density = 9.11 g/cm3; DFT total energy = -5.52 eV per atom; crystal system = tetragonal; DOS(E_F) = 3.1 states/eV per cell; space-group type = P4/mmm, No. 123
1.0
3.8687 0.0000 0.0000
0.0000 3.8687 0.0000
0.0000 0.0000 3.9825
Fe Ag H Pd
2 1 1 1
direct
0.0000 0.5000 0.0000 Fe
0.5000 0.0000 0.0000 Fe
0.0000 0.0000 0.5000 Ag
0.5000 0.5000 0.0000 H
0.5000 0.5000 0.5000 Pd